A relaxed ZnMoOs2 crystal, computed with PBE.

Computed properties:
The energy of formation from the pure elements comes out at 0.299 eV/atom. The total energy is -0.61314 Ry per atom.

abc: 2.715 2.715 8.956
angles: 90.00 90.00 115.42
Fractional positions:
Mo 0.500 0.500 0.750
Zn 0.500 0.500 0.250
Os 0.000 0.000 0.000
Os 0.000 0.000 0.500